# 1
DFT (GGA-PBE) results for crystalline ThS2BrO8 at its relaxed geometry.

```
ThS2BrO8
1.0
-0.4358 5.8634 0.7153
-4.8274 -3.4037 0.4374
1.2253 -0.7996 7.3009
Th S Br O
1 2 1 8
direct
0.0000 0.0000 0.0000
0.3333 0.6667 0.7739
0.6667 0.3333 0.2261
0.0000 0.0000 0.5000
0.1977 0.3954 0.8519
0.1977 0.8023 0.8519
0.6046 0.8023 0.8519
0.3954 0.1977 0.1481
0.6667 0.3333 0.4187
0.3333 0.6667 0.5813
0.8023 0.6046 0.1481
0.8023 0.1977 0.1481
```

As for the formation energy without anion corrections: -1740 meV per atom. As for the space group: P-3m1, No. 164. The raw total energy is -6.491 eV/atom.

=====

# 2
DFT (GGA-PBE) results for crystalline ThSBrO6 at its relaxed geometry.

```
ThSBrO6
1.0
6.7961 1.6054 -0.0396
4.7312 6.2781 0.6921
-0.0635 0.6731 4.4594
Th S Br O
1 1 1 6
direct
0.6537 0.6461 0.7294
0.2307 0.2707 0.4111
0.0077 0.9714 0.0818
0.1423 0.3378 0.0729
0.1274 0.1709 0.5795
0.6791 0.3294 0.9003
0.0697 0.5230 0.4871
0.5233 0.7145 0.2194
0.5658 0.0362 0.5183
```

As for the formation energy without anion corrections: -1679 meV per atom. As for the space group: P1, No. 1. The raw total energy is -6.453 eV/atom.

=====

# 3
DFT (GGA-PBE) results for crystalline TiS2BrO at its relaxed geometry.

```
TiS2BrO
1.0
-3.4930 -0.6015 -3.4118
0.4505 -3.6957 0.1903
-3.4130 -0.2341 3.5355
S O Br Ti
2 1 1 1
direct
0.0000 0.0000 0.5000
0.5000 0.0000 0.0000
0.0000 0.5000 0.0000
0.5000 0.5000 0.5000
0.0000 0.0000 0.0000
```

As for the formation energy without anion corrections: -675 meV per atom. As for the space group: P4/mmm, No. 123. The raw total energy is -5.231 eV/atom.